DyCdPd: optimized geometry, PBE.

Geometry as POSCAR:
```
DyCdPd
1.0
5.065 0.000 0.000
-2.532 4.386 0.000
0.000 0.000 5.837
Dy Cd Pd
2 2 2
Direct
0.333 0.667 0.250
0.667 0.333 0.750
0.000 0.000 0.000
0.000 0.000 0.500
0.333 0.667 0.750
0.667 0.333 0.250
```

Computed properties:
Total energy   -4.22 eV per atom
E_form   -0.648 eV per atom



HoSn2HS4: optimized geometry, PBE.

Geometry as POSCAR:
```
HoSn2HS4
1.0
6.916 0.000 0.000
0.000 3.911 0.000
-2.137 0.000 6.715
Ho Sn H S
1 2 1 4
Direct
0.000 0.000 0.000
0.500 0.000 0.500
0.500 0.500 0.000
0.000 0.500 0.500
0.239 0.500 0.227
0.261 0.000 0.777
0.739 0.000 0.223
0.761 0.500 0.773
```

Computed properties:
Total energy   -4.58 eV per atom



TbHo2TmTh: optimized geometry, PBE.

Geometry as POSCAR:
```
TbHo2TmTh
1.0
8.247 0.000 0.000
0.000 6.026 0.000
-0.932 0.000 6.855
Tb Ho Tm Th
2 4 2 2
Direct
0.000 0.000 0.000
0.000 0.000 0.500
0.332 0.416 0.077
0.332 0.584 0.577
0.668 0.416 0.423
0.668 0.584 0.923
0.500 0.086 0.750
0.500 0.914 0.250
0.000 0.471 0.750
0.000 0.529 0.250
```

Computed properties:
Total energy   -4.75 eV per atom
E_form   0.381 eV per atom



SmBRu: optimized geometry, PBE.

Geometry as POSCAR:
```
SmBRu
1.0
3.668 0.000 0.000
-1.834 3.176 0.000
0.000 0.000 4.387
Sm B Ru
1 1 1
Direct
0.000 0.000 0.000
0.333 0.667 0.500
0.667 0.333 0.500
```

Computed properties:
Energy above the lowest structure with this stoichiometry   0 meV/atom
Total energy   -7.26 eV per atom
E_form   -0.368 eV per atom



SrUO4: optimized geometry, PBE.

Geometry as POSCAR:
```
SrUO4
1.0
5.593 0.000 0.000
0.000 8.030 0.000
0.000 0.000 8.182
Sr U O
4 4 16
Direct
0.019 0.197 0.250
0.019 0.303 0.750
0.981 0.697 0.250
0.981 0.803 0.750
0.500 0.000 0.000
0.500 0.000 0.500
0.500 0.500 0.000
0.500 0.500 0.500
0.198 0.580 0.579
0.198 0.580 0.921
0.198 0.920 0.079
0.198 0.920 0.421
0.332 0.250 0.000
0.332 0.250 0.500
0.366 0.534 0.250
0.366 0.966 0.750
0.634 0.034 0.250
0.634 0.466 0.750
0.668 0.750 0.000
0.668 0.750 0.500
0.802 0.080 0.579
0.802 0.080 0.921
0.802 0.420 0.079
0.802 0.420 0.421
```

Computed properties:
Energy relative to the elements, uncorrected   -3.20 eV per atom
Total energy   -8.67 eV per atom



Nd12CuRh6: optimized geometry, PBE.

Geometry as POSCAR:
```
Nd12CuRh6
1.0
6.488 3.746 3.868
-6.488 3.746 3.868
0.000 -7.491 3.868
Nd Cu Rh
12 1 6
Direct
0.056 0.920 0.675
0.080 0.325 0.944
0.176 0.576 0.416
0.325 0.944 0.080
0.416 0.176 0.576
0.424 0.584 0.824
0.576 0.416 0.176
0.584 0.824 0.424
0.675 0.056 0.920
0.824 0.424 0.584
0.920 0.675 0.056
0.944 0.080 0.325
0.000 0.000 0.000
0.135 0.307 0.616
0.307 0.616 0.135
0.384 0.865 0.693
0.616 0.135 0.307
0.693 0.384 0.865
0.865 0.693 0.384
```

Computed properties:
Total energy   -5.97 eV per atom
E_form   -0.419 eV per atom



Let's list theoretical density in order: 9.76 4.86 8.67 8.52 7.04 7.10 g/cm3.